# 1
A plane-wave DFT calculation with GGA-PBE was carried out for a geometry-optimized La2HoCd4 structure.

The raw total energy is -2.76 eV/atom. As for the formation energy: -1.3 eV per formula unit. Its spin magnetization is 0.707 Bohr magnetons per cell.

It has space group I4/mmm (No. 139), with a = 5.4263 Å, b = 5.4263 Å, c = 14.4256 Å, α = 90.00°, β = 90.00° and γ = 90.00°. Symmetry generates all atoms from La at (0.0000, 0.0000, 0.2378), Ho at (0.0000, 0.0000, 0.5000) and Cd at (0.0000, 0.5000, 0.1066).

***

# 2
A plane-wave DFT calculation with GGA-PBE was carried out for a geometry-optimized Ho2Ga3Au5 structure.

The raw total energy is -4.05 eV/atom. The energy relative to the lowest polymorph listed for this composition comes out at 0.00 eV per formula unit. As for the formation energy: -5.9 eV per formula unit. Its spin magnetization is 0.000 Bohr magnetons per cell.

It has space group Cmc2_1 (No. 36), with a = 4.4748 Å, b = 24.7421 Å, c = 7.1030 Å, α = 90.00°, β = 90.00° and γ = 90.00°. Symmetry generates all atoms from Ho at (0.0000, 0.0182, 0.0000), Ho at (0.0000, 0.3245, 0.9918), Ga at (0.0000, 0.1035, 0.3138), Ga at (0.0000, 0.2738, 0.4656), Ga at (0.0000, 0.4489, 0.1925), Au at (0.0000, 0.1048, 0.6936), Au at (0.0000, 0.2001, 0.1798), Au at (0.0000, 0.2153, 0.7652), Au at (0.0000, 0.3809, 0.4869) and Au at (0.0000, 0.4508, 0.8063).